Entry 1:
# Li6ZnPd5

A relaxed Li6ZnPd5 crystal (PBE, Alexandria).

Results
Spin magnetization = 0.000 Bohr magnetons per cell
Formation enthalpy at 0 K = -0.418 eV/atom

```
data_Li6ZnPd5
_chemical_formula_sum 'Li12 Zn2 Pd10'
_cell_length_a 4.213
_cell_length_b 6.007
_cell_length_c 12.718
_cell_angle_alpha 90.00
_cell_angle_beta 90.00
_cell_angle_gamma 90.00
_symmetry_space_group_name_H-M 'I m m m'
_symmetry_Int_Tables_number 71
_symmetry_space_group_name_Hall '-I 2 2'
loop_
_atom_site_label
_atom_site_fract_x
_atom_site_fract_y
_atom_site_fract_z
_atom_site_occupancy
Li1 0.000 0.235 0.000 1
Li2 0.000 0.258 0.328 1
Zn1 0.000 0.000 0.500 1
Pd1 0.000 0.000 0.167 1
Pd2 0.000 0.500 0.156 1
Pd3 0.000 0.500 0.500 1
```

Entry 2:
# Li8Zn6Pd

A relaxed Li8Zn6Pd crystal (PBE, Alexandria).

Results
Spin magnetization = 0.000 Bohr magnetons per cell
Energy above the lowest structure with this stoichiometry = 0.000 eV per atom
Formation enthalpy at 0 K = -0.194 eV/atom

```
data_Li8Zn6Pd
_chemical_formula_sum 'Li24 Zn18 Pd3'
_cell_length_a 7.8809
_cell_length_b 7.8809
_cell_length_c 13.7466
_cell_angle_alpha 90.00
_cell_angle_beta 90.00
_cell_angle_gamma 120.00
_symmetry_space_group_name_H-M 'R -3'
_symmetry_Int_Tables_number 148
_symmetry_space_group_name_Hall '-R 3'
loop_
_atom_site_label
_atom_site_fract_x
_atom_site_fract_y
_atom_site_fract_z
_atom_site_occupancy
Li1 0.0000 0.0000 0.1119 1
Li2 0.0960 0.5503 0.3339 1
Zn1 0.0001 0.3325 0.8332 1
Pd1 0.0000 0.0000 0.5000 1
```